1.
SmTm2Sc5 | PBE-GGA | optimized geometry

The formation energy comes out at 0.059 eV/atom.

The space group is I4/mmm (No. 139) and the conventional cell measures 6.768, 6.768 and 9.354 Å, with angles of 90.00, 90.00 and 90.00 degrees. The asymmetric unit holds Sm at (0.000, 0.000, 0.000), Tm at (0.000, 0.500, 0.000), Sc at (0.000, 0.000, 0.500) and Sc at (0.250, 0.250, 0.250).


2.
DyHo3Co | PBE-GGA | optimized geometry

The calculation puts the energy relative to the lowest polymorph listed for this composition at 0 kJ/mol of formula units. The formation energy comes out at -0.053 eV/atom.

The space group is P2_1/m (No. 11) and the conventional cell measures 5.987, 7.577 and 6.241 Å, with angles of 90.00, 90.78 and 90.00 degrees. The asymmetric unit holds Dy at (0.244, 0.250, 0.158), Ho at (0.246, 0.750, 0.160), Ho at (0.249, 0.000, 0.672) and Co at (0.001, 0.750, 0.500).